First-principles (PBE) data for a relaxed La4NdSm7 crystal, as listed in Alexandria via LeMat-Bulk.

Properties
Uncorrected energy in eV/atom: -4.78
Distance to the lowest polymorph of the same formula in eV/atom: 0.000
SG: P-3m1 (164)
Size of the total moment in Bohr magnetons per cell: 0.000
D(E_F) in states/eV/f.u.: 19.41

The structure in CIF format:
```
data_La4NdSm7
_cell_length_a 3.6723
_cell_length_b 3.6723
_cell_length_c 36.0026
_cell_angle_alpha 90.00
_cell_angle_beta 90.00
_cell_angle_gamma 120.00
_space_group_name_H-M_alt 'P 1'
_space_group_IT_number 1
loop_
_space_group_symop_operation_xyz
'x,y,z'
loop_
_atom_site_label
_atom_site_fract_x
_atom_site_fract_y
_atom_site_fract_z
_atom_site_occupancy
La1 0.3333 0.6667 0.1667 1
La2 0.3333 0.6667 0.4164 1
La3 0.6667 0.3333 0.5836 1
La4 0.6667 0.3333 0.8333 1
Nd1 0.0000 0.0000 0.0000 1
Sm1 0.0000 0.0000 0.2509 1
Sm2 0.0000 0.0000 0.5000 1
Sm3 0.0000 0.0000 0.7491 1
Sm4 0.3333 0.6667 0.6677 1
Sm5 0.3333 0.6667 0.9174 1
Sm6 0.6667 0.3333 0.0826 1
Sm7 0.6667 0.3333 0.3323 1
```


First-principles (PBE) data for a relaxed La7Nd3Sm2 crystal, as listed in Alexandria via LeMat-Bulk.

Properties
Uncorrected energy in eV/atom: -4.77
Distance to the lowest polymorph of the same formula in eV/atom: 0.018
SG: P2/m (10)
Size of the total moment in Bohr magnetons per cell: 0.000
D(E_F) in states/eV/f.u.: 19.20

The structure in CIF format:
```
data_La7Nd3Sm2
_cell_length_a 6.0606
_cell_length_b 3.6586
_cell_length_c 19.5880
_cell_angle_alpha 90.00
_cell_angle_beta 93.38
_cell_angle_gamma 90.00
_space_group_name_H-M_alt 'P 1'
_space_group_IT_number 1
loop_
_space_group_symop_operation_xyz
'x,y,z'
loop_
_atom_site_label
_atom_site_fract_x
_atom_site_fract_y
_atom_site_fract_z
_atom_site_occupancy
La1 0.0000 0.0000 0.0000 1
La2 0.1811 0.5000 0.1809 1
La3 0.2563 0.5000 0.5342 1
La4 0.3223 0.0000 0.8540 1
La5 0.6777 0.0000 0.1460 1
La6 0.7437 0.5000 0.4658 1
La7 0.8189 0.5000 0.8191 1
Nd1 0.2201 0.0000 0.3647 1
Nd2 0.5000 0.5000 0.0000 1
Nd3 0.7799 0.0000 0.6353 1
Sm1 0.2904 0.5000 0.7028 1
Sm2 0.7096 0.5000 0.2972 1
```


First-principles (PBE) data for a relaxed La5NdSm3 crystal, as listed in Alexandria via LeMat-Bulk.

Properties
Uncorrected energy in eV/atom: -4.61
Distance to the lowest polymorph of the same formula in eV/atom: 0.000
SG: C2/c (15)
Size of the total moment in Bohr magnetons per cell: 0.000
D(E_F) in states/eV/f.u.: 13.54

The structure in CIF format:
```
data_La5NdSm3
_cell_length_a 10.8670
_cell_length_b 10.8670
_cell_length_c 11.7752
_cell_angle_alpha 120.62
_cell_angle_beta 120.62
_cell_angle_gamma 34.31
_space_group_name_H-M_alt 'P 1'
_space_group_IT_number 1
loop_
_space_group_symop_operation_xyz
'x,y,z'
loop_
_atom_site_label
_atom_site_fract_x
_atom_site_fract_y
_atom_site_fract_z
_atom_site_occupancy
La1 0.0454 0.6701 0.3402 1
La2 0.0891 0.9109 0.7500 1
La3 0.1273 0.5150 0.6612 1
La4 0.3299 0.9546 0.1598 1
La5 0.4850 0.8727 0.8388 1
La6 0.5150 0.1273 0.1612 1
La7 0.6701 0.0454 0.8402 1
La8 0.8727 0.4850 0.3388 1
La9 0.9109 0.0891 0.2500 1
La10 0.9546 0.3299 0.6598 1
Nd1 0.3876 0.6124 0.2500 1
Nd2 0.6124 0.3876 0.7500 1
Sm1 0.0854 0.5635 0.9765 1
Sm2 0.4365 0.9146 0.5235 1
Sm3 0.5000 0.5000 0.0000 1
Sm4 0.5000 0.5000 0.5000 1
Sm5 0.5635 0.0854 0.4765 1
Sm6 0.9146 0.4365 0.0235 1
```


First-principles (PBE) data for a relaxed LaNd4Sm15 crystal, as listed in Alexandria via LeMat-Bulk.

Properties
Uncorrected energy in eV/atom: -4.72
SG: P4/mmm (123)
Size of the total moment in Bohr magnetons per cell: 0.000
D(E_F) in states/eV/f.u.: 29.30

The structure in CIF format:
```
data_LaNd4Sm15
_cell_length_a 5.1618
_cell_length_b 5.1618
_cell_length_c 25.7663
_cell_angle_alpha 90.00
_cell_angle_beta 90.00
_cell_angle_gamma 90.00
_space_group_name_H-M_alt 'P 1'
_space_group_IT_number 1
loop_
_space_group_symop_operation_xyz
'x,y,z'
loop_
_atom_site_label
_atom_site_fract_x
_atom_site_fract_y
_atom_site_fract_z
_atom_site_occupancy
La1 0.0000 0.0000 0.0000 1
Nd1 0.0000 0.0000 0.2002 1
Nd2 0.0000 0.0000 0.4003 1
Nd3 0.0000 0.0000 0.5997 1
Nd4 0.0000 0.0000 0.7998 1
Sm1 0.0000 0.5000 0.1009 1
Sm2 0.0000 0.5000 0.3004 1
Sm3 0.0000 0.5000 0.5000 1
Sm4 0.0000 0.5000 0.6996 1
Sm5 0.0000 0.5000 0.8991 1
Sm6 0.5000 0.0000 0.1009 1
Sm7 0.5000 0.0000 0.3004 1
Sm8 0.5000 0.0000 0.5000 1
Sm9 0.5000 0.0000 0.6996 1
Sm10 0.5000 0.0000 0.8991 1
Sm11 0.5000 0.5000 0.0000 1
Sm12 0.5000 0.5000 0.2009 1
Sm13 0.5000 0.5000 0.4001 1
Sm14 0.5000 0.5000 0.5999 1
Sm15 0.5000 0.5000 0.7991 1
```